1.
# TbHfAs2, optimized geometry, DFT PBE-GGA
# Mass density = 8.98 g/cm³
# Space group = P-6m2, No. 187
# Energy = -57.5 eV for the cell shown
data_TbHfAs2
_cell_length_a 3.9543
_cell_length_b 3.9543
_cell_length_c 13.3045
_cell_angle_alpha 90.00
_cell_angle_beta 90.00
_cell_angle_gamma 120.00
_symmetry_space_group_name_H-M 'P 1'
_symmetry_Int_Tables_number 1
_symmetry_space_group_name_Hall 'P 1'
loop_
_atom_site_label
_atom_site_type_symbol
_atom_site_fract_x
_atom_site_fract_y
_atom_site_fract_z
Tb1 Tb 0.0000 0.0000 0.1362
Tb2 Tb 0.0000 0.0000 0.8638
Hf1 Hf 0.3333 0.6667 0.3796
Hf2 Hf 0.3333 0.6667 0.6204
As1 As 0.0000 0.0000 0.5000
As2 As 0.3333 0.6667 0.0000
As3 As 0.6667 0.3333 0.2681
As4 As 0.6667 0.3333 0.7319

2.
# TbHfAs, optimized geometry, DFT PBE-GGA
# Mass density = 9.64 g/cm³
# Space group = F-43m, No. 216
# Energy = -20.5 eV for the cell shown
data_TbHfAs
_cell_length_a 4.6478
_cell_length_b 4.6478
_cell_length_c 4.6478
_cell_angle_alpha 60.00
_cell_angle_beta 60.00
_cell_angle_gamma 60.00
_symmetry_space_group_name_H-M 'P 1'
_symmetry_Int_Tables_number 1
_symmetry_space_group_name_Hall 'P 1'
loop_
_atom_site_label
_atom_site_type_symbol
_atom_site_fract_x
_atom_site_fract_y
_atom_site_fract_z
Tb1 Tb 0.0000 0.0000 0.0000
Hf1 Hf 0.5000 0.5000 0.5000
As1 As 0.7500 0.7500 0.7500

3.
# HfTc2As2, optimized geometry, DFT PBE-GGA
# Mass density = 10.16 g/cm³
# Space group = I4/mmm, No. 139
# Energy = -41.3 eV for the cell shown
# Excess energy over the best structure of this formula in the dataset = 1 meV per atom
data_HfTc2As2
_cell_length_a 5.5906
_cell_length_b 5.5906
_cell_length_c 5.5906
_cell_angle_alpha 135.14
_cell_angle_beta 135.14
_cell_angle_gamma 65.32
_symmetry_space_group_name_H-M 'P 1'
_symmetry_Int_Tables_number 1
_symmetry_space_group_name_Hall 'P 1'
loop_
_atom_site_label
_atom_site_type_symbol
_atom_site_fract_x
_atom_site_fract_y
_atom_site_fract_z
Hf1 Hf 0.0000 0.0000 0.0000
Tc1 Tc 0.2500 0.7500 0.5000
Tc2 Tc 0.7500 0.2500 0.5000
As1 As 0.3718 0.3718 0.0000
As2 As 0.6282 0.6282 0.0000

4.
# Hf2TcAs2, optimized geometry, DFT PBE-GGA
# Mass density = 10.65 g/cm³
# Space group = I4/mmm, No. 139
# Energy = -40.7 eV for the cell shown
data_Hf2TcAs2
_cell_length_a 7.9509
_cell_length_b 7.9509
_cell_length_c 7.9509
_cell_angle_alpha 154.31
_cell_angle_beta 154.31
_cell_angle_gamma 36.64
_symmetry_space_group_name_H-M 'P 1'
_symmetry_Int_Tables_number 1
_symmetry_space_group_name_Hall 'P 1'
loop_
_atom_site_label
_atom_site_type_symbol
_atom_site_fract_x
_atom_site_fract_y
_atom_site_fract_z
Hf1 Hf 0.1008 0.1008 0.0000
Hf2 Hf 0.8992 0.8992 0.0000
Tc1 Tc 0.5000 0.5000 0.0000
As1 As 0.2500 0.7500 0.5000
As2 As 0.7500 0.2500 0.5000

5.
# HfTc2As2, optimized geometry, DFT PBE-GGA
# Mass density = 10.13 g/cm³
# Space group = I4/mmm, No. 139
# Energy = -41.3 eV for the cell shown
# Excess energy over the best structure of this formula in the dataset = 0 meV per atom
data_HfTc2As2
_cell_length_a 5.5895
_cell_length_b 5.5895
_cell_length_c 5.5895
_cell_angle_alpha 135.02
_cell_angle_beta 135.02
_cell_angle_gamma 65.50
_symmetry_space_group_name_H-M 'P 1'
_symmetry_Int_Tables_number 1
_symmetry_space_group_name_Hall 'P 1'
loop_
_atom_site_label
_atom_site_type_symbol
_atom_site_fract_x
_atom_site_fract_y
_atom_site_fract_z
Hf1 Hf 0.0000 0.0000 0.0000
Tc1 Tc 0.2500 0.7500 0.5000
Tc2 Tc 0.7500 0.2500 0.5000
As1 As 0.3712 0.3712 0.0000
As2 As 0.6288 0.6288 0.0000

6.
# Hf2TcAs, optimized geometry, DFT PBE-GGA
# Mass density = 12.49 g/cm³
# Space group = F-43m, No. 216
# Energy = -35.1 eV for the cell shown
data_Hf2TcAs
_cell_length_a 4.6354
_cell_length_b 4.6354
_cell_length_c 4.6354
_cell_angle_alpha 60.00
_cell_angle_beta 60.00
_cell_angle_gamma 60.00
_symmetry_space_group_name_H-M 'P 1'
_symmetry_Int_Tables_number 1
_symmetry_space_group_name_Hall 'P 1'
loop_
_atom_site_label
_atom_site_type_symbol
_atom_site_fract_x
_atom_site_fract_y
_atom_site_fract_z
Hf1 Hf 0.0000 0.0000 0.0000
Hf2 Hf 0.2500 0.2500 0.2500
Tc1 Tc 0.7500 0.7500 0.7500
As1 As 0.5000 0.5000 0.5000

7.
# HfTeAs2, optimized geometry, DFT PBE-GGA
# Mass density = 8.91 g/cm³
# Space group = F-43m, No. 216
# Energy = -22.0 eV for the cell shown
data_HfTeAs2
_cell_length_a 4.9353
_cell_length_b 4.9353
_cell_length_c 4.9353
_cell_angle_alpha 60.00
_cell_angle_beta 60.00
_cell_angle_gamma 60.00
_symmetry_space_group_name_H-M 'P 1'
_symmetry_Int_Tables_number 1
_symmetry_space_group_name_Hall 'P 1'
loop_
_atom_site_label
_atom_site_type_symbol
_atom_site_fract_x
_atom_site_fract_y
_atom_site_fract_z
Hf1 Hf 0.0000 0.0000 0.0000
Te1 Te 0.7500 0.7500 0.7500
As1 As 0.2500 0.2500 0.2500
As2 As 0.5000 0.5000 0.5000

8.
# HfTe2As, optimized geometry, DFT PBE-GGA
# Mass density = 9.09 g/cm³
# Space group = F-43m, No. 216
# Energy = -20.4 eV for the cell shown
data_HfTe2As
_cell_length_a 5.0836
_cell_length_b 5.0836
_cell_length_c 5.0836
_cell_angle_alpha 60.00
_cell_angle_beta 60.00
_cell_angle_gamma 60.00
_symmetry_space_group_name_H-M 'P 1'
_symmetry_Int_Tables_number 1
_symmetry_space_group_name_Hall 'P 1'
loop_
_atom_site_label
_atom_site_type_symbol
_atom_site_fract_x
_atom_site_fract_y
_atom_site_fract_z
Hf1 Hf 0.0000 0.0000 0.0000
Te1 Te 0.2500 0.2500 0.2500
Te2 Te 0.5000 0.5000 0.5000
As1 As 0.7500 0.7500 0.7500

| no. | V (Å³/cell) |
| --- | --- |
| 1 | 180.17 |
| 2 | 70.99 |
| 3 | 85.68 |
| 4 | 94.30 |
| 5 | 85.96 |
| 6 | 70.43 |
| 7 | 85.00 |
| 8 | 92.90 |